A relaxed KPOsO crystal, computed with PBE.

Values from the calculation:
Excess energy over the best structure of this formula in the dataset: 300 meV per atom

a = 4.0042 Å, b = 4.0042 Å, c = 10.5261 Å
α = 90.00°, β = 90.00°, γ = 90.00°
Positions (direct):
1 K 0.0000 0.5000 0.1574
2 K 0.5000 0.0000 0.8426
3 O 0.0000 0.0000 0.0000
4 O 0.5000 0.5000 0.0000
5 Os 0.0000 0.0000 0.5000
6 Os 0.5000 0.5000 0.5000
7 P 0.5000 0.0000 0.3866
8 P 0.0000 0.5000 0.6134

---

A relaxed LaInIrPd crystal, computed with PBE.

Values from the calculation:
Uncorrected energy: -48.26 eV/cell

a = 4.6504 Å, b = 4.6504 Å, c = 9.3053 Å
α = 90.00°, β = 90.00°, γ = 120.00°
Positions (direct):
1 In 0.0000 0.0000 0.2572
2 In 0.0000 0.0000 0.7428
3 Ir 0.3333 0.6667 0.3305
4 Ir 0.3333 0.6667 0.6695
5 La 0.3333 0.6667 0.0000
6 La 0.6667 0.3333 0.5000
7 Pd 0.6667 0.3333 0.1635
8 Pd 0.6667 0.3333 0.8365

---

A relaxed TlCdNiPt crystal, computed with PBE.

Values from the calculation:
Uncorrected energy: -14.71 eV/cell

a = 4.6166 Å, b = 4.6166 Å, c = 4.6166 Å
α = 60.00°, β = 60.00°, γ = 60.00°
Positions (direct):
1 Cd 0.5000 0.5000 0.5000
2 Ni 0.7500 0.7500 0.7500
3 Pt 0.2500 0.2500 0.2500
4 Tl 0.0000 0.0000 0.0000

---

A relaxed RbHfCu crystal, computed with PBE.

Values from the calculation:
Excess energy over the best structure of this formula in the dataset: 670 meV per atom

a = 4.9466 Å, b = 4.9466 Å, c = 4.9466 Å
α = 60.00°, β = 60.00°, γ = 60.00°
Positions (direct):
1 Cu 0.2500 0.2500 0.2500
2 Hf 0.7500 0.7500 0.7500
3 Rb 0.0000 0.0000 0.0000

---

A relaxed HoHgAsO crystal, computed with PBE.

Values from the calculation:
Excess energy over the best structure of this formula in the dataset: 262 meV per atom

a = 4.1948 Å, b = 6.2646 Å, c = 6.7396 Å
α = 90.00°, β = 90.00°, γ = 90.00°
Positions (direct):
1 As 0.0000 0.7095 0.3279
2 As 0.0000 0.2905 0.8279
3 Hg 0.0000 0.0827 0.4850
4 Hg 0.0000 0.9173 0.9850
5 Ho 0.5000 0.4715 0.0859
6 Ho 0.5000 0.5285 0.5859
7 O 0.5000 0.2861 0.3551
8 O 0.5000 0.7139 0.8551

---

A relaxed LiMgTlCu crystal, computed with PBE.

Values from the calculation:
Excess energy over the best structure of this formula in the dataset: 0 meV per atom

a = 4.5986 Å, b = 4.5986 Å, c = 4.5986 Å
α = 60.00°, β = 60.00°, γ = 60.00°
Positions (direct):
1 Cu 0.7500 0.7500 0.7500
2 Li 0.2500 0.2500 0.2500
3 Mg 0.5000 0.5000 0.5000
4 Tl 0.0000 0.0000 0.0000